K8H3Br4Cl after structural relaxation, computed with PBE.

Values from the calculation:
Size of the total moment   0.100 μB/f.u.
E_tot   -2.8814 eV/atom

Cell: 8.9433 8.9433 22.0840 Å, 90.00 90.00 120.00°
Space group R-3m (No. 166, hexagonal axes)
Inequivalent atoms, fractional coordinates:
K  0.0000  0.0000  0.2407
K  0.0089  0.5045  0.7584
H  0.0000  0.5000  0.5000
Br  0.0000  0.0000  0.0000
Br  0.0000  0.5000  0.0000
Cl  0.0000  0.0000  0.5000

Ac2Ga12Ir7 after structural relaxation, computed with PBE.

Values from the calculation:
Size of the total moment   0.000 μB/f.u.
E_form   -0.56 eV/atom

Cell: 10.1598 10.1598 4.1157 Å, 90.00 90.00 120.00°
Space group P-6 (No. 174)
Inequivalent atoms, fractional coordinates:
Ac  0.0000  0.0000  0.0000
Ac  0.3333  0.6667  0.5000
Ga  0.0127  0.7327  0.5000
Ga  0.1625  0.3937  0.0000
Ga  0.3792  0.1795  0.0000
Ga  0.5468  0.1401  0.5000
Ir  0.0204  0.5525  0.0000
Ir  0.2578  0.0007  0.5000
Ir  0.6667  0.3333  0.0000

KYAl2 after structural relaxation, computed with PBE.

Values from the calculation:
Size of the total moment   0.000 μB/f.u.
Offset from the most stable computed form   206.9 meV per atom
E_form   0.21 eV/atom

Cell: 7.5592 7.5592 7.5592 Å, 90.00 90.00 90.00°
Space group Fm-3m (No. 225)
Inequivalent atoms, fractional coordinates:
K  0.0000  0.0000  0.0000
Y  0.0000  0.0000  0.5000
Al  0.2500  0.2500  0.2500